CuGePd3: optimized geometry, PBE-GGA.

electronic total energy: -51.63 eV per cell
relative energy among the computed polymorphs: 0.0 meV per atom
energy of formation: -0.3048 eV per atom
M_tot: 0.000 Bohr magnetons per cell

abc: 5.4955 4.1674 6.8497
angles: 90.00 108.77 90.00
Last column: nearest neighbours and their distance in Å.
Space group P2_1/m (No. 11)
One atom of each set of equivalent atoms:
Cu 0.0288 0.2500 0.3842  7 Pd 2.55-2.74, 1 Ge 2.63, 2 Cu 2.70
Ge 0.3732 0.2500 0.1928  8 Pd 2.50-2.78, 1 Cu 2.63
Pd 0.1633 0.7500 0.0093  2 Ge 2.51, 1 Cu 2.56, 2 Pd 2.73
Pd 0.2972 0.2500 0.7816  3 Cu 2.65-2.74, 3 Ge 2.71-2.73, 3 Pd 2.84-2.85
Pd 0.3217 0.7500 0.4456  3 Ge 2.50-2.78, 3 Cu 2.55-2.58, 2 Pd 2.79

TbDy2UP4: optimized geometry, PBE-GGA.

electronic total energy: -58.38 eV per cell
energy of formation: -1.4528 eV per atom
M_tot: 2.064 Bohr magnetons per cell

abc: 6.9042 3.9780 6.9077
angles: 90.00 109.23 90.00
Last column: nearest neighbours and their distance in Å.
Space group P2/m (No. 10)
One atom of each set of equivalent atoms:
Tb 0.0000 0.0000 0.0000  6 P 2.82-2.83
Dy 0.5000 0.0000 0.5000  6 P 2.81-2.82
Dy 0.5000 0.5000 0.0000  6 P 2.85-2.87
U 0.0000 0.5000 0.5000  6 P 2.76-2.79
P 0.2455 0.0000 0.7446  2 U 2.79, 3 Dy 2.81-2.85, 1 Tb 2.82
P 0.2464 0.5000 0.2554  1 U 2.76, 3 Dy 2.82-2.87, 2 Tb 2.83

K3PmSb2O9: optimized geometry, PBE-GGA.

electronic total energy: -86.26 eV per cell
M_tot: 1.999 Bohr magnetons per cell
ΔE_f (raw): -1.690 eV/atom

abc: 5.9452 5.9452 7.3911
angles: 90.00 90.00 120.00
Last column: nearest neighbours and their distance in Å.
Space group P-3m1 (No. 164)
One atom of each set of equivalent atoms:
K 0.0000 0.0000 0.0000  12 O 2.92-2.97
K 0.3333 0.6667 0.6687  12 O 2.98-3.11
Pm 0.0000 0.0000 0.5000  6 O 2.31
Sb 0.3333 0.6667 0.1559  6 O 1.97-2.07
O 0.0000 0.5000 0.0000  2 Sb 2.07
O 0.1771 0.3541 0.3091  1 Sb 1.97